<A>
PdAu4: optimized geometry, PBE.

Structure (POSCAR):
```
PdAu4
1.0
3.8268 -2.4458 0.0000
3.8268 2.4458 0.0000
-1.8300 0.0000 4.7029
Pd Au
1 4
Direct
0.0000 0.0000 0.0000 Pd
0.1995 0.1995 0.6007 Au
0.3987 0.3987 0.1970 Au
0.6013 0.6013 0.8030 Au
0.8005 0.8005 0.3993 Au
```

* M_tot: 0.00 μB/cell
* volume: 88.04 Å³/cell
* calculated density: 16.87 g cm⁻³
* space group: C2/m (12)

=====

<B>
PdAu4: optimized geometry, PBE.

Structure (POSCAR):
```
PdAu4
1.0
-1.8923 1.8923 6.9493
1.8923 -1.8923 6.9493
1.8923 1.8923 -6.9493
Pd Au
1 4
Direct
0.0000 0.0000 0.0000 Pd
0.2500 0.7500 0.5000 Au
0.4047 0.4047 0.0000 Au
0.5953 0.5953 0.0000 Au
0.7500 0.2500 0.5000 Au
```

* M_tot: 0.00 μB/cell
* volume: 99.54 Å³/cell
* calculated density: 14.92 g cm⁻³
* space group: I4/mmm (139)

=====

<C>
PdAu4: optimized geometry, PBE.

Structure (POSCAR):
```
PdAu4
1.0
4.9998 0.0000 0.0000
0.0000 4.9998 0.0000
0.0000 0.0000 4.9998
Pd Au
1 4
Direct
0.0000 0.0000 0.0000 Pd
0.0000 0.0000 0.5000 Au
0.0000 0.5000 0.0000 Au
0.5000 0.0000 0.0000 Au
0.5000 0.5000 0.5000 Au
```

* M_tot: 0.00 μB/cell
* volume: 124.99 Å³/cell
* calculated density: 11.88 g cm⁻³
* space group: Pm-3m (221)

=====

Most stable structure: <A>

=====

<A>
PdAu2: optimized geometry, PBE.

Structure (POSCAR):
```
PdAu2
1.0
2.5087 -1.4449 0.0000
2.5087 1.4449 0.0000
-1.6238 0.0000 14.1878
Pd Au
2 4
Direct
0.0000 0.0000 0.0000 Pd
0.5000 0.5000 0.5000 Pd
0.1136 0.1136 0.3371 Au
0.2769 0.2769 0.8363 Au
0.7231 0.7231 0.1637 Au
0.8864 0.8864 0.6629 Au
```

* M_tot: 0.00 μB/cell
* volume: 102.86 Å³/cell
* calculated density: 16.16 g cm⁻³
* space group: C2/m (12)

=====

<B>
PdAu2: optimized geometry, PBE.

Structure (POSCAR):
```
PdAu2
1.0
4.5025 -2.0636 0.0000
4.5025 2.0636 0.0000
-1.6507 0.0000 5.5152
Pd Au
2 4
Direct
0.1669 0.1669 0.3328 Pd
0.8331 0.8331 0.6672 Pd
0.1670 0.1670 0.8283 Au
0.5000 0.5000 0.0000 Au
0.5000 0.5000 0.5000 Au
0.8330 0.8330 0.1717 Au
```

* M_tot: 0.00 μB/cell
* volume: 102.48 Å³/cell
* calculated density: 16.21 g cm⁻³
* space group: C2/m (12)

=====

Most stable structure: <B>